(1)
NaNp2TlBr8 | PBE-GGA | relaxed

Results
* VASP energy: -4.845 eV/atom
* E_form (uncorrected): -1465 kJ/mol of formula units

Lattice parameters (Å, degrees): 7.0268 7.3518 8.9318 90.59 90.89 93.82
Space group P-1 (No. 2)
Symmetry-distinct sites (fractional):
Na: 0.0000 0.0000 0.0000 (multiplicity 1)
Np: 0.5003 0.5002 0.2454 (multiplicity 2)
Tl: 0.0000 0.0000 0.5000 (multiplicity 1)
Br: 0.2558 0.1761 0.7751 (multiplicity 2)
Br: 0.2587 0.1740 0.2343 (multiplicity 2)
Br: 0.2776 0.6451 0.9988 (multiplicity 2)
Br: 0.2824 0.6338 0.4985 (multiplicity 2)

(2)
NaNpTl2Br6 | PBE-GGA | relaxed

Results
* VASP energy: -4.101 eV/atom
* E_form (uncorrected): -1156 kJ/mol of formula units

Lattice parameters (Å, degrees): 7.7027 8.2607 13.4554 90.00 123.92 90.00
Space group P2_1/c (No. 14)
Symmetry-distinct sites (fractional):
Na: 0.0000 0.0000 0.0000 (multiplicity 2)
Np: 0.5000 0.0000 0.5000 (multiplicity 2)
Tl: 0.2185 0.0811 0.7478 (multiplicity 4)
Br: 0.1413 0.1908 0.4448 (multiplicity 4)
Br: 0.2627 0.7031 0.4452 (multiplicity 4)
Br: 0.3678 0.0346 0.2530 (multiplicity 4)

(3)
NaNpTlBr6 | PBE-GGA | relaxed

Results
* VASP energy: -4.213 eV/atom
* E_form (uncorrected): -1085 kJ/mol of formula units

Lattice parameters (Å, degrees): 7.5488 7.5488 14.1462 90.00 90.00 120.00
Space group P-31c (No. 163)
Symmetry-distinct sites (fractional):
Na: 0.3333 0.6667 0.2500 (multiplicity 2)
Np: 0.3333 0.6667 0.7500 (multiplicity 2)
Tl: 0.0000 0.0000 0.0000 (multiplicity 2)
Br: 0.0231 0.3756 0.6364 (multiplicity 12)